BaInRh2 | PBE | relaxed

```
data_BaInRh2
_space_group_name_H-M_alt 'P 1'
_space_group_IT_number 1
_space_group_name_Hall 'P 1'
_cell_length_a 4.676
_cell_length_b 4.676
_cell_length_c 6.197
_cell_angle_alpha 67.83
_cell_angle_beta 67.83
_cell_angle_gamma 60.00
loop_
_atom_site_label
_atom_site_type_symbol
_atom_site_fract_x
_atom_site_fract_y
_atom_site_fract_z
Ba1 Ba 0.750 0.750 0.750
In1 In 0.250 0.250 0.250
Rh1 Rh 0.932 0.932 0.203
Rh2 Rh 0.568 0.568 0.297
```

Summary:
Density of states at the Fermi level = 0.782 states/eV per atom
Energy of formation from the pure elements = -317 meV/atom
Total moment = 0.000 μB per formula unit

---

Li6Tl3Hg | PBE | relaxed

```
data_Li6Tl3Hg
_space_group_name_H-M_alt 'P 1'
_space_group_IT_number 1
_space_group_name_Hall 'P 1'
_cell_length_a 4.773
_cell_length_b 8.346
_cell_length_c 10.191
_cell_angle_alpha 105.77
_cell_angle_beta 90.00
_cell_angle_gamma 90.00
loop_
_atom_site_label
_atom_site_type_symbol
_atom_site_fract_x
_atom_site_fract_y
_atom_site_fract_z
Tl1 Tl 0.250 0.768 0.995
Tl2 Tl 0.750 0.467 0.604
Tl3 Tl 0.750 0.645 0.200
Tl4 Tl 0.250 0.533 0.396
Tl5 Tl 0.750 0.232 0.005
Tl6 Tl 0.250 0.355 0.800
Li1 Li 0.750 0.146 0.689
Li2 Li 0.250 0.146 0.198
Li3 Li 0.250 0.055 0.891
Li4 Li 0.250 0.854 0.311
Li5 Li 0.750 0.550 0.905
Li6 Li 0.250 0.658 0.699
Li7 Li 0.750 0.945 0.109
Li8 Li 0.250 0.233 0.501
Li9 Li 0.250 0.450 0.095
Li10 Li 0.750 0.767 0.499
Li11 Li 0.750 0.854 0.802
Li12 Li 0.750 0.342 0.301
Hg1 Hg 0.250 0.941 0.607
Hg2 Hg 0.750 0.059 0.393
```

Summary:
Density of states at the Fermi level = 0.412 states/eV per atom
Energy of formation from the pure elements = -254 meV/atom
Relative energy among the computed polymorphs = 0 meV/atom
Total moment = 0.000 μB per formula unit

---

K2Dy2USe6 | PBE | relaxed

```
data_K2Dy2USe6
_space_group_name_H-M_alt 'P 1'
_space_group_IT_number 1
_space_group_name_Hall 'P 1'
_cell_length_a 7.218
_cell_length_b 7.218
_cell_length_c 8.215
_cell_angle_alpha 98.54
_cell_angle_beta 98.54
_cell_angle_gamma 119.88
loop_
_atom_site_label
_atom_site_type_symbol
_atom_site_fract_x
_atom_site_fract_y
_atom_site_fract_z
Se1 Se 0.261 0.261 0.300
Se2 Se 0.397 0.067 0.701
Se3 Se 0.603 0.933 0.299
Se4 Se 0.933 0.603 0.299
Se5 Se 0.067 0.397 0.701
Se6 Se 0.739 0.739 0.700
K1 K 0.168 0.832 0.000
K2 K 0.832 0.168 0.000
Dy1 Dy 0.667 0.333 0.500
Dy2 Dy 0.333 0.667 0.500
U1 U 0.000 0.000 0.500
```

Summary:
Density of states at the Fermi level = 0.628 states/eV per atom
ΔE_f (raw) = -17.55 eV per formula unit
Total moment = 2.000 μB per formula unit

---

InSbRu2 | PBE | relaxed

```
data_InSbRu2
_space_group_name_H-M_alt 'P 1'
_space_group_IT_number 1
_space_group_name_Hall 'P 1'
_cell_length_a 3.249
_cell_length_b 4.569
_cell_length_c 4.569
_cell_angle_alpha 90.00
_cell_angle_beta 90.00
_cell_angle_gamma 90.00
loop_
_atom_site_label
_atom_site_type_symbol
_atom_site_fract_x
_atom_site_fract_y
_atom_site_fract_z
Ru1 Ru 0.000 0.500 0.000
Ru2 Ru 0.000 0.000 0.500
In1 In 0.500 0.500 0.500
Sb1 Sb 0.500 0.000 0.000
```

Summary:
Density of states at the Fermi level = 0.204 states/eV per atom
ΔE_f (raw) = 0.06 eV per formula unit
Total moment = 0.000 μB per formula unit

---

YMgRe2Sb | PBE | relaxed

```
data_YMgRe2Sb
_space_group_name_H-M_alt 'P 1'
_space_group_IT_number 1
_space_group_name_Hall 'P 1'
_cell_length_a 4.880
_cell_length_b 5.333
_cell_length_c 4.880
_cell_angle_alpha 90.00
_cell_angle_beta 90.00
_cell_angle_gamma 90.00
loop_
_atom_site_label
_atom_site_type_symbol
_atom_site_fract_x
_atom_site_fract_y
_atom_site_fract_z
Mg1 Mg 0.000 0.500 0.000
Re1 Re 0.500 0.000 0.000
Re2 Re 0.000 0.000 0.500
Y1 Y 0.000 0.000 0.000
Sb1 Sb 0.500 0.500 0.500
```

Summary:
Density of states at the Fermi level = 1.283 states/eV per atom
ΔE_f (raw) = 11.23 eV per formula unit
Total moment = 0.000 μB per formula unit

---

TbAl3FeCo | PBE | relaxed

```
data_TbAl3FeCo
_space_group_name_H-M_alt 'P 1'
_space_group_IT_number 1
_space_group_name_Hall 'P 1'
_cell_length_a 5.555
_cell_length_b 7.512
_cell_length_c 6.298
_cell_angle_alpha 126.61
_cell_angle_beta 90.00
_cell_angle_gamma 90.00
loop_
_atom_site_label
_atom_site_type_symbol
_atom_site_fract_x
_atom_site_fract_y
_atom_site_fract_z
Al1 Al 0.000 0.744 0.000
Al2 Al 0.750 0.804 0.608
Al3 Al 0.500 0.744 0.000
Al4 Al 0.250 0.196 0.392
Al5 Al 0.000 0.256 0.000
Al6 Al 0.500 0.256 0.000
Co1 Co 0.750 0.027 0.055
Co2 Co 0.250 0.973 0.945
Tb1 Tb 0.750 0.288 0.577
Tb2 Tb 0.250 0.712 0.423
Fe1 Fe 0.250 0.426 0.853
Fe2 Fe 0.750 0.574 0.147
```

Summary:
Density of states at the Fermi level = 0.419 states/eV per atom
Energy of formation from the pure elements = -176 meV/atom
Total moment = 0.000 μB per formula unit